[1]
DFT (PBE) results for a relaxed structure of Dy2InS.

a = 3.781 Å, b = 3.781 Å, c = 24.447 Å
α = 90.00°, β = 90.00°, γ = 120.00°
Atoms (fractional coordinates):
Dy 0.000 0.000 0.000
Dy 0.000 0.000 0.201
Dy 0.333 0.667 0.667
Dy 0.333 0.667 0.868
Dy 0.667 0.333 0.333
Dy 0.667 0.333 0.534
In 0.000 0.000 0.434
In 0.333 0.667 0.100
In 0.667 0.333 0.767
S 0.000 0.000 0.601
S 0.333 0.667 0.268
S 0.667 0.333 0.935

Summary:
Its space group is R3m. The energy relative to the elements, uncorrected comes out at -4.7 eV/f.u. The calculation puts the relative energy among the computed polymorphs at 42 meV/atom. The calculation puts the total energy at -20.76 eV/f.u.

=====

[2]
DFT (PBE) results for a relaxed structure of LaEuMgSc.

a = 7.927 Å, b = 7.927 Å, c = 7.927 Å
α = 90.00°, β = 90.00°, γ = 90.00°
Atoms (fractional coordinates):
La 0.000 0.000 0.000
La 0.000 0.500 0.500
La 0.500 0.000 0.500
La 0.500 0.500 0.000
Eu 0.000 0.000 0.500
Eu 0.000 0.500 0.000
Eu 0.500 0.000 0.000
Eu 0.500 0.500 0.500
Mg 0.250 0.250 0.250
Mg 0.250 0.750 0.750
Mg 0.750 0.250 0.750
Mg 0.750 0.750 0.250
Sc 0.250 0.250 0.750
Sc 0.250 0.750 0.250
Sc 0.750 0.250 0.250
Sc 0.750 0.750 0.750

Summary:
The formation energy from the elements is 70 meV/atom. Its space group is F-43m. The calculation puts the total energy at -22.85 eV/f.u.